Entry from Alexandria: crystalline Ca2CrAs at its relaxed geometry (PBE-GGA).

a b c (Å): 8.002 8.002 8.002
angles (deg): 31.49 31.49 31.49
Sites, in units of the cell vectors:
Ca 0.019 0.019 0.019
Cr 0.250 0.250 0.250
Ca 0.481 0.481 0.481
As 0.750 0.750 0.750

Total DFT energy (no corrections) ... -4.650 eV per atom
Density of states at the Fermi level ... 0.266 states/eV per cell